[1]
Density functional theory data (meta-GGA SCAN) for CaHfS3 at its PBEsol-relaxed geometry.

Lattice parameters (Å, degrees): 6.441 6.947 9.459 90.00 90.00 90.00
Element x y z (fractional)
S: 0.181 0.811 0.062
S: 0.819 0.189 0.562
S: 0.681 0.689 0.938
S: 0.819 0.189 0.938
S: 0.181 0.811 0.438
S: 0.319 0.311 0.438
S: 0.877 0.469 0.250
Ca: 0.034 0.095 0.250
Hf: 0.000 0.500 0.000
Hf: 0.500 0.000 0.500
Ca: 0.534 0.405 0.750
Hf: 0.000 0.500 0.500
Hf: 0.500 0.000 0.000
S: 0.623 0.969 0.250
Ca: 0.966 0.905 0.750
S: 0.123 0.531 0.750
S: 0.681 0.689 0.562
Ca: 0.466 0.595 0.250
S: 0.377 0.031 0.750
S: 0.319 0.311 0.062

final energy = -445.1 eV/cell
crystal system = orthorhombic
DOS at the Fermi energy = 0.0000 states/eV per atom

=====

[2]
Density functional theory data (meta-GGA SCAN) for BiTePd2 at its PBEsol-relaxed geometry.

Lattice parameters (Å, degrees): 4.749 4.749 8.943 105.40 105.40 90.00
Element x y z (fractional)
Bi: 0.250 0.750 0.500
Pd: 0.433 0.875 0.250
Pd: 0.125 0.183 0.750
Pd: 0.817 0.375 0.250
Te: 0.750 0.250 0.500
Pd: 0.625 0.567 0.750
Bi: 0.000 0.000 0.000
Te: 0.500 0.500 0.000

final energy = -363.9 eV/cell
crystal system = tetragonal
DOS at the Fermi energy = 0.4647 states/eV per atom

=====

[3]
Density functional theory data (meta-GGA SCAN) for MgInPb2 at its PBEsol-relaxed geometry.

Lattice parameters (Å, degrees): 3.374 3.374 10.684 90.00 90.00 116.64
Element x y z (fractional)
In: 0.500 0.500 0.500
Pb: 0.000 0.000 0.761
Pb: 0.000 0.000 0.239
Mg: 0.500 0.500 0.000

energy of formation = -3 meV/atom
final energy = -189.9 eV/cell
crystal system = orthorhombic
DOS at the Fermi energy = 0.3960 states/eV per atom

=====

[4]
Density functional theory data (meta-GGA SCAN) for Li2TlPt at its PBEsol-relaxed geometry.

Lattice parameters (Å, degrees): 3.853 4.040 4.040 90.00 90.00 90.00
Element x y z (fractional)
Li: 0.000 0.500 0.000
Pt: 0.500 0.500 0.500
Li: 0.000 0.000 0.500
Tl: 0.500 0.000 0.000

energy of formation = -446 meV/atom
final energy = -149.1 eV/cell
crystal system = tetragonal
DOS at the Fermi energy = 0.3089 states/eV per atom

=====

[5]
Density functional theory data (meta-GGA SCAN) for TaCuAs2 at its PBEsol-relaxed geometry.

Lattice parameters (Å, degrees): 3.486 3.486 5.250 90.00 90.00 90.00
Element x y z (fractional)
Ta: 0.500 0.500 0.777
As: 0.000 0.000 0.952
Cu: 0.000 0.000 0.464
As: 0.500 0.500 0.307

energy of formation = -124 meV/atom
final energy = -122.7 eV/cell
crystal system = tetragonal
DOS at the Fermi energy = 0.3159 states/eV per atom

=====

[6]
Density functional theory data (meta-GGA SCAN) for Sc2AlAg at its PBEsol-relaxed geometry.

Lattice parameters (Å, degrees): 3.275 4.762 5.752 114.56 106.54 90.00
Element x y z (fractional)
Sc: 0.767 0.267 0.534
Sc: 0.991 0.991 0.982
Ag: 0.517 0.517 0.034
Al: 0.225 0.725 0.450

energy of formation = -339 meV/atom
final energy = -68.9 eV/cell
crystal system = monoclinic
DOS at the Fermi energy = 0.7219 states/eV per atom

=====

[7]
Density functional theory data (meta-GGA SCAN) for TePb at its PBEsol-relaxed geometry.

Lattice parameters (Å, degrees): 4.457 4.681 6.587 90.00 109.78 90.00
Element x y z (fractional)
Te: 0.627 0.750 0.254
Pb: 0.130 0.250 0.259
Pb: 0.870 0.750 0.741
Te: 0.373 0.250 0.746

final energy = -227.4 eV/cell
crystal system = orthorhombic

=====

[8]
Density functional theory data (meta-GGA SCAN) for Ti5FeSn3 at its PBEsol-relaxed geometry.

Lattice parameters (Å, degrees): 5.392 8.141 8.141 120.00 90.00 90.00
Element x y z (fractional)
Fe: 0.000 0.000 0.000
Ti: 0.250 0.758 0.000
Ti: 0.750 0.242 0.000
Sn: 0.250 0.000 0.398
Ti: 0.250 0.242 0.242
Sn: 0.250 0.398 0.000
Ti: 0.500 0.333 0.667
Ti: 0.500 0.667 0.333
Sn: 0.750 0.000 0.602
Ti: 0.750 0.758 0.758
Fe: 0.500 0.000 0.000
Ti: 0.000 0.667 0.333
Sn: 0.750 0.398 0.398
Sn: 0.250 0.602 0.602
Ti: 0.750 0.000 0.242
Ti: 0.250 0.000 0.758
Ti: 0.000 0.333 0.667
Sn: 0.750 0.602 0.000

energy of formation = -414 meV/atom
final energy = -419.5 eV/cell
crystal system = hexagonal
DOS at the Fermi energy = 1.0806 states/eV per atom

=====

[9]
Density functional theory data (meta-GGA SCAN) for CrCdF6 at its PBEsol-relaxed geometry.

Lattice parameters (Å, degrees): 5.117 5.117 5.542 62.51 62.51 60.00
Element x y z (fractional)
F: 0.634 0.216 0.226
Cd: 0.500 0.500 0.500
F: 0.784 0.076 0.774
F: 0.216 0.924 0.226
Cr: 0.000 0.000 0.000
F: 0.076 0.366 0.774
F: 0.924 0.634 0.226
F: 0.366 0.784 0.774

final energy = -90.8 eV/cell
crystal system = trigonal

=====

[10]
Density functional theory data (meta-GGA SCAN) for TmThRu2 at its PBEsol-relaxed geometry.

Lattice parameters (Å, degrees): 4.819 4.819 4.819 60.00 60.00 60.00
Element x y z (fractional)
Ru: 0.750 0.750 0.750
Th: 0.500 0.500 0.500
Ru: 0.250 0.250 0.250
Tm: 0.000 0.000 0.000

energy of formation = -541 meV/atom
final energy = -219.6 eV/cell
crystal system = cubic
DOS at the Fermi energy = 0.4392 states/eV per atom

=====

[11]
Density functional theory data (meta-GGA SCAN) for Be4FeGe at its PBEsol-relaxed geometry.

Lattice parameters (Å, degrees): 4.189 4.189 4.189 60.00 60.00 60.00
Element x y z (fractional)
Be: 0.872 0.376 0.376
Fe: 0.750 0.750 0.750
Be: 0.376 0.376 0.872
Be: 0.376 0.376 0.376
Be: 0.376 0.872 0.376
Ge: 0.000 0.000 0.000

energy of formation = -60 meV/atom
final energy = -55.0 eV/cell
crystal system = cubic
DOS at the Fermi energy = 0.1370 states/eV per atom

=====

[12]
Density functional theory data (meta-GGA SCAN) for Cs at its PBEsol-relaxed geometry.

Lattice parameters (Å, degrees): 5.166 5.166 9.658 98.37 98.37 117.12
Element x y z (fractional)
Cs: 0.131 0.131 0.262
Cs: 0.869 0.869 0.738

energy of formation = 29 meV/atom
final energy = -75.6 eV/cell
ΔE to the lowest computed polymorph = 28.6 meV/atom
crystal system = orthorhombic
DOS at the Fermi energy = 1.1506 states/eV per atom

=====

Repeat the twelfth record exactly.
Density functional theory data (meta-GGA SCAN) for Cs at its PBEsol-relaxed geometry.

Lattice parameters (Å, degrees): 5.166 5.166 9.658 98.37 98.37 117.12
Element x y z (fractional)
Cs: 0.131 0.131 0.262
Cs: 0.869 0.869 0.738

energy of formation = 29 meV/atom
final energy = -75.6 eV/cell
ΔE to the lowest computed polymorph = 28.6 meV/atom
crystal system = orthorhombic
DOS at the Fermi energy = 1.1506 states/eV per atom

=====

- final energy of number 3 (MgInPb2)?
  -189.9 eV/cell

=====

- Look up the final energy of the ninth one.
  -90.8 eV/cell

=====

- What is the final energy in the second record?
  -363.9 eV/cell